{"formula": "TiInSi2", "functional": "PBE-GGA", "state": "optimized geometry", "e_form_raw_ev_per_fu": 1.3, "cell": [[-1.3154, 7.2433, -0.3976], [-7.0317, -1.1739, 1.8791], [-3.4969, 3.3059, 3.4425]], "species": ["Si", "Si", "Si", "Si", "Ti", "Ti", "In", "In"], "fractional_positions": [[0.3750, 0.3917, 0.7500], [0.8750, 0.8583, 0.7500], [0.1417, 0.6250, 0.2500], [0.6083, 0.1250, 0.2500], [0.5000, 0.5000, 0.0000], [0.2500, 0.7500, 0.5000], [0.7500, 0.2500, 0.5000], [0.0000, 0.0000, 0.0000]]}

***

{"formula": "TiZnIn2Si", "functional": "PBE-GGA", "state": "optimized geometry", "e_form_raw_ev_per_fu": 3.8, "cell": [[4.9013, 0.0000, 0.0000], [0.0000, 4.9232, 0.0000], [0.0000, 0.0000, 4.9013]], "species": ["Si", "In", "In", "Zn", "Ti"], "fractional_positions": [[0.5000, 0.5000, 0.5000], [0.5000, 0.0000, 0.0000], [0.0000, 0.0000, 0.5000], [0.0000, 0.0000, 0.0000], [0.0000, 0.5000, 0.0000]]}

***

{"formula": "Tl2InSi", "functional": "PBE-GGA", "state": "optimized geometry", "e_form_raw_ev_per_fu": 1.5, "cell": [[6.2346, -0.0224, -0.0584], [-2.8747, 5.5324, -0.0584], [0.5521, 0.9054, 3.0381]], "species": ["Tl", "Tl", "Si", "In"], "fractional_positions": [[0.0000, 0.0000, 0.0000], [0.5000, 0.5000, 0.0000], [0.0000, 0.5000, 0.5000], [0.5000, 0.0000, 0.5000]]}

***

{"formula": "Tl2InSi", "functional": "PBE-GGA", "state": "optimized geometry", "e_form_raw_ev_per_fu": 1.4, "cell": [[5.5832, -0.0112, 0.0000], [1.2981, 5.4302, 0.0000], [-3.4406, -2.7095, 3.4631]], "species": ["In", "Si", "Tl", "Tl"], "fractional_positions": [[0.5000, 0.5000, 0.0000], [0.7500, 0.2500, 0.5000], [0.0000, 0.0000, 0.0000], [0.2500, 0.7500, 0.5000]]}

***

{"formula": "Tl2InSi", "functional": "PBE-GGA", "state": "optimized geometry", "e_form_raw_ev_per_fu": 1.3, "cell": [[8.5040, 0.0000, 0.0000], [0.0000, 8.5040, 0.0000], [4.2520, 4.2520, 3.0239]], "species": ["Si", "Si", "Tl", "Tl", "Tl", "Tl", "In", "In"], "fractional_positions": [[0.2500, 0.7500, 0.5000], [0.5000, 0.5000, 0.0000], [0.1746, 0.6250, 0.2500], [0.5754, 0.1250, 0.2500], [0.8750, 0.8254, 0.7500], [0.3750, 0.4246, 0.7500], [0.7500, 0.2500, 0.5000], [0.0000, 0.0000, 0.0000]]}

***

{"formula": "TlIn2Si", "functional": "PBE-GGA", "state": "optimized geometry", "e_form_raw_ev_per_fu": 1.3, "cell": [[5.8670, 0.2089, 0.0000], [2.2129, 5.4377, 0.0000], [-4.0400, -2.8233, 3.1896]], "species": ["Tl", "In", "In", "Si"], "fractional_positions": [[0.7500, 0.2500, 0.5000], [0.0000, 0.0000, 0.0000], [0.2500, 0.7500, 0.5000], [0.5000, 0.5000, 0.0000]]}